Computed, not measured: an optimized crystal structure of Nd2Sn2Se2O5 at the PBE level of DFT.

Computed properties:
Energy in eV/atom: -6.466
Symmetry: C2/m, No. 12
Total magnetization in μB per cell: 0.01

Cell lengths 4.0070, 4.0070, 12.6349 Å; angles 99.10, 99.10, 90.00 degrees
Last column: nearest neighbours and their distance in Å.
Positions (direct):
Se (0.7939, 0.7939, 0.0884)  5 Nd 3.00-3.17, 1 Sn 3.14, 4 O 3.24
O (0.0000, 0.0000, 0.5000)  2 Sn 1.93
Nd (0.3343, 0.3343, 0.1694)  4 O 2.53
Nd (0.6657, 0.6657, 0.8306)  4 O 2.53
O (0.3968, 0.8967, 0.2947)  2 Sn 2.09
Sn (0.9209, 0.9209, 0.3433)  5 O 1.93-2.09
O (0.1033, 0.6032, 0.7053)  2 Sn 2.09
Sn (0.0791, 0.0791, 0.6567)  5 O 1.93-2.09
O (0.6032, 0.1033, 0.7053)  2 Sn 2.09
Se (0.2061, 0.2061, 0.9116)  5 Nd 3.00-3.17, 1 Sn 3.14, 4 O 3.24
O (0.8967, 0.3968, 0.2947)  2 Sn 2.09



Computed, not measured: an optimized crystal structure of Li3TbSm2Pb3 at the PBE level of DFT.

Computed properties:
Energy in eV/atom: -3.921
Symmetry: P-6m2, No. 187
Total magnetization in μB per cell: 0.02

Cell lengths 4.8137, 4.8137, 11.0570 Å; angles 90.00, 90.00, 120.00 degrees
Last column: nearest neighbours and their distance in Å.
Positions (direct):
Pb (0.0000, 0.0000, 0.5000)  3 Li 2.78
Sm (0.3333, 0.6667, 0.3342)  6 Li 3.21-3.33, 6 Pb 3.33
Li (0.6667, 0.3333, 0.5000)  3 Pb 2.78
Li (0.0000, 0.0000, 0.1884)  3 Pb 2.79
Sm (0.3333, 0.6667, 0.6658)  6 Li 3.21-3.33, 6 Pb 3.33
Li (0.0000, 0.0000, 0.8116)  3 Pb 2.79
Pb (0.6667, 0.3333, 0.8311)  3 Li 2.79
Pb (0.6667, 0.3333, 0.1689)  3 Li 2.79
Tb (0.3333, 0.6667, 0.0000)  6 Pb 3.35, 6 Li 3.47, 2 Sm 3.70



Computed, not measured: an optimized crystal structure of Nd3AgPt8 at the PBE level of DFT.

Computed properties:
Energy in eV/atom: -6.371
Symmetry: R3m, No. 160
Total magnetization in μB per cell: 0.01
DFT formation energy in meV per atom: -907

Cell lengths 9.4950, 9.4950, 9.4950 Å; angles 33.49, 33.49, 33.49 degrees
Last column: nearest neighbours and their distance in Å.
Positions (direct):
Nd (0.4928, 0.4928, 0.4928)  12 Pt 3.07-3.31, 3 Ag 3.26
Pt (0.0589, 0.5631, 0.5631)  6 Pt 2.71-2.76
Nd (0.6224, 0.6224, 0.6224)  12 Pt 3.18-3.25, 4 Nd 3.47-3.48
Pt (0.3120, 0.3120, 0.3120)  6 Pt 2.73-2.74
Pt (0.5631, 0.5631, 0.0589)  6 Pt 2.71-2.76
Pt (0.0624, 0.0624, 0.5622)  6 Pt 2.73-2.75
Pt (0.5631, 0.0589, 0.5631)  6 Pt 2.71-2.76
Ag (0.1294, 0.1294, 0.1294)  12 Pt 3.11-3.29, 4 Nd 3.22-3.26
Pt (0.8117, 0.8117, 0.8117)  6 Pt 2.73-2.75
Nd (0.0096, 0.0096, 0.0096)  9 Pt 3.07-3.27, 1 Ag 3.22
Pt (0.5622, 0.0624, 0.0624)  6 Pt 2.73-2.75
Pt (0.0624, 0.5622, 0.0624)  6 Pt 2.73-2.75



Computed, not measured: an optimized crystal structure of ErFeRe at the PBE level of DFT.

Computed properties:
Energy above the lowest structure with this stoichiometry in eV/atom: 0.000
Energy in eV/atom: -7.913
Symmetry: F-43m, No. 216
Total magnetization in μB per cell: 0.01
DFT formation energy in meV per atom: 519

Cell lengths 4.2698, 4.2698, 4.2698 Å; angles 60.00, 60.00, 60.00 degrees
Last column: nearest neighbours and their distance in Å.
Positions (direct):
Re (0.7500, 0.7500, 0.7500)  4 Fe 2.61
Fe (0.0000, 0.0000, 0.0000)  4 Re 2.61, 4 Er 2.61
Er (0.2500, 0.2500, 0.2500)  4 Fe 2.61



Computed, not measured: an optimized crystal structure of PmF2 at the PBE level of DFT.

Computed properties:
Energy above the lowest structure with this stoichiometry in eV/atom: 1.395
Energy in eV/atom: -4.744
Symmetry: Fd-3m, No. 227
Total magnetization in μB per cell: 0.08

Cell lengths 4.7511, 4.7511, 4.7511 Å; angles 60.00, 60.00, 60.00 degrees
Last column: nearest neighbours and their distance in Å.
Positions (direct):
Pm (0.0000, 0.0000, 0.0000)  12 F 2.79, 4 Pm 2.91
F (0.6250, 0.6250, 0.6250)  6 F 2.38
F (0.1250, 0.6250, 0.6250)  6 F 2.38
F (0.6250, 0.6250, 0.1250)  6 F 2.38
F (0.6250, 0.1250, 0.6250)  6 F 2.38
Pm (0.2500, 0.2500, 0.2500)  12 F 2.79, 4 Pm 2.91



Computed, not measured: an optimized crystal structure of KHfNO at the PBE level of DFT.

Computed properties:
Energy above the lowest structure with this stoichiometry in eV/atom: 1.290
Energy in eV/atom: -6.717
Symmetry: C2/m, No. 12
Total magnetization in μB per cell: 2.33

Cell lengths 4.2131, 4.2131, 9.8146 Å; angles 90.59, 90.59, 90.53 degrees
Last column: nearest neighbours and their distance in Å.
Positions (direct):
N (0.2510, 0.2510, 0.0424)  4 Hf 2.15
N (0.7490, 0.7490, 0.9576)  4 Hf 2.15
K (0.7530, 0.7530, 0.6444)  4 O 2.54
O (0.2492, 0.7508, 0.5000)  4 K 2.54
Hf (0.2501, 0.7499, 0.0000)  4 N 2.15
O (0.7508, 0.2492, 0.5000)  4 K 2.54
K (0.2470, 0.2470, 0.3555)  4 O 2.54
Hf (0.7499, 0.2501, 0.0000)  4 N 2.15



Computed, not measured: an optimized crystal structure of NbBrCl4 at the PBE level of DFT.

Computed properties:
Energy in eV/atom: -4.340
Symmetry: P-1, No. 2
Total magnetization in μB per cell: 0.01

Cell lengths 6.5273, 7.0366, 9.5059 Å; angles 109.29, 91.19, 114.69 degrees
Last column: nearest neighbours and their distance in Å.
Positions (direct):
Cl (0.0685, 0.8172, 0.5769)  1 Nb 2.29
Nb (0.8995, 0.7859, 0.7821)  3 Cl 2.29-2.34, 1 Br 2.44
Cl (0.1164, 0.6307, 0.8540)  1 Nb 2.33
Cl (0.8836, 0.3693, 0.1460)  1 Nb 2.33
Cl (0.7051, 0.9905, 0.7589)  1 Nb 2.34
Br (0.4422, 0.5757, 0.3278)  1 Nb 2.44
Cl (0.7768, 0.8307, 0.0444)  2 Nb 2.57-2.59
Cl (0.2949, 0.0095, 0.2411)  1 Nb 2.34
Nb (0.1005, 0.2141, 0.2179)  3 Cl 2.29-2.34, 1 Br 2.44
Cl (0.2232, 0.1693, 0.9556)  2 Nb 2.57-2.59
Cl (0.9315, 0.1828, 0.4231)  1 Nb 2.29
Br (0.5578, 0.4243, 0.6722)  1 Nb 2.44



Computed, not measured: an optimized crystal structure of KRbTcO3 at the PBE level of DFT.

Computed properties:
Energy in eV/atom: -5.978
Symmetry: P-1, No. 2
Total magnetization in μB per cell: 2.00

Cell lengths 6.3725, 6.4229, 7.2291 Å; angles 90.19, 90.01, 118.76 degrees
Last column: nearest neighbours and their distance in Å.
Positions (direct):
K (0.0000, 0.0000, 0.5000)  6 O 2.69-2.70
Tc (0.6725, 0.3436, 0.2419)  3 O 1.76-1.80
O (0.3525, 0.2120, 0.2501)  1 Tc 1.79
O (0.1270, 0.3502, 0.7528)  1 Tc 1.76
Rb (0.6596, 0.3255, 0.7345)  3 O 2.83-3.01
Rb (0.3404, 0.6745, 0.2655)  3 O 2.83-3.01
K (0.0000, 0.0000, 0.0000)  6 O 2.68-2.69
O (0.2371, 0.8817, 0.7498)  1 Tc 1.80
Tc (0.3275, 0.6564, 0.7581)  3 O 1.76-1.80
O (0.8730, 0.6498, 0.2472)  1 Tc 1.76
O (0.6475, 0.7880, 0.7499)  1 Tc 1.79
O (0.7629, 0.1183, 0.2502)  1 Tc 1.80



Computed, not measured: an optimized crystal structure of Cu4I3Br at the PBE level of DFT.

Computed properties:
Energy in eV/atom: -2.742
Symmetry: Cmm2, No. 35

Cell lengths 4.2995, 4.2995, 13.2831 Å; angles 90.00, 90.00, 90.63 degrees
Last column: nearest neighbours and their distance in Å.
Positions (direct):
I (0.0000, 0.0000, 0.6081)  2 Cu 2.46
Cu (0.7624, 0.2376, 0.2450)  1 Br 2.29, 1 I 2.45
Cu (0.2505, 0.2505, 0.7536)  2 I 2.45-2.46
I (0.5000, 0.5000, 0.8991)  2 Cu 2.45
Cu (0.2376, 0.7624, 0.2450)  1 Br 2.29, 1 I 2.45
Br (0.0000, 0.0000, 0.1114)  2 Cu 2.29
Cu (0.7495, 0.7495, 0.7536)  2 I 2.45-2.46
I (0.5000, 0.5000, 0.3840)  2 Cu 2.45



Computed, not measured: an optimized crystal structure of LiTbCdS3 at the PBE level of DFT.

Computed properties:
Energy above the lowest structure with this stoichiometry in eV/atom: 0.103
Energy in eV/atom: -4.537
Symmetry: Cmcm, No. 63
Total magnetization in μB per cell: 0.01

Cell lengths 6.5684, 6.5684, 10.8543 Å; angles 90.00, 90.00, 35.06 degrees
Last column: nearest neighbours and their distance in Å.
Positions (direct):
S (0.6410, 0.6410, 0.9350)  1 Cd 2.47, 2 Tb 2.74
Li (0.7488, 0.7488, 0.2500)  2 S 2.70
S (0.3590, 0.3590, 0.0650)  1 Cd 2.47, 2 Tb 2.74
Li (0.2512, 0.2512, 0.7500)  2 S 2.70
S (0.8983, 0.8983, 0.7500)  2 Cd 2.55, 2 Li 2.70
Cd (0.4735, 0.4735, 0.2500)  4 S 2.47-2.55
Cd (0.5265, 0.5265, 0.7500)  4 S 2.47-2.55
S (0.6410, 0.6410, 0.5650)  1 Cd 2.47, 2 Tb 2.74
S (0.3590, 0.3590, 0.4350)  1 Cd 2.47, 2 Tb 2.74
Tb (0.0000, 0.0000, 0.0000)  6 S 2.74-3.00
S (0.1017, 0.1017, 0.2500)  2 Cd 2.55, 2 Li 2.70
Tb (0.0000, 0.0000, 0.5000)  6 S 2.74-3.00



Computed, not measured: an optimized crystal structure of InCo2SeS2 at the PBE level of DFT.

Computed properties:
Energy in eV/atom: -5.055
Symmetry: Cc, No. 9
Total magnetization in μB per cell: 0.01

Cell lengths 6.4702, 6.4702, 5.8799 Å; angles 98.24, 98.24, 113.83 degrees
Last column: nearest neighbours and their distance in Å.
Positions (direct):
Co (0.2204, 0.7384, 0.9163)  3 S 2.10-2.23
S (0.9369, 0.7329, 0.0934)  2 Co 2.19-2.23
Co (0.6298, 0.4029, 0.0422)  2 S 2.09-2.19, 1 Se 2.30
S (0.4821, 0.0651, 0.0956)  3 Co 2.09-2.13
Co (0.4029, 0.6298, 0.5422)  2 S 2.09-2.19, 1 Se 2.30
In (0.9165, 0.1266, 0.0407)  3 S 2.61-2.75, 1 Co 2.74, 1 Se 2.78
Se (0.3428, 0.5108, 0.1407)  3 Co 2.30-2.40
S (0.0651, 0.4821, 0.5956)  3 Co 2.09-2.13
Co (0.7384, 0.2204, 0.4163)  3 S 2.10-2.23
In (0.1266, 0.9165, 0.5407)  3 S 2.61-2.75, 1 Co 2.74, 1 Se 2.78
S (0.7329, 0.9369, 0.5934)  2 Co 2.19-2.23
Se (0.5108, 0.3428, 0.6407)  3 Co 2.30-2.40